TbThAsSe: relaxed, GGA-PBE.

Raw total energy in eV per atom: -6.611
Energy relative to the elements, uncorrected in meV per atom: -1565
Size of the total moment in μB/f.u.: 0.000

The structure in POSCAR format:
```
TbThAsSe
1.0
4.177 0.000 0.000
0.000 4.177 0.000
0.000 0.000 5.918
Tb Th As Se
1 1 1 1
direct
0.000 0.000 0.000
0.500 0.500 0.500
0.500 0.500 0.000
0.000 0.000 0.500
```